--- 1 ---
{
  "formula": "LaPrTmHg",
  "functional": "PBE-GGA",
  "state": "relaxed",
  "cell": [[-2.605, -0.587, -2.587], [-0.916, -3.205, 1.649], [-5.988, 4.310, 5.053]],
  "species": ["La", "Tm", "Pr", "Hg"],
  "frac_coords": [[0.000, 0.000, 0.084], [0.500, 0.500, 0.361], [0.500, 0.500, 0.790], [0.000, 0.000, 0.549]],
  "m_tot_mub_per_fu": 0.00
}

---

--- 2 ---
{
  "formula": "LaPrTmHg",
  "functional": "PBE-GGA",
  "state": "relaxed",
  "cell": [[-2.277, -5.045, 0.648], [3.227, -4.543, -0.064], [0.870, -2.867, 4.699]],
  "species": ["Pr", "La", "Tm", "Hg"],
  "frac_coords": [[0.750, 0.750, 0.750], [0.250, 0.250, 0.250], [0.500, 0.500, 0.500], [0.000, 0.000, 0.000]],
  "m_tot_mub_per_fu": 0.00
}

---

Pick 1: it beats the second-best structure by 0.129 eV/atom.

---

--- 1 ---
{
  "formula": "LaHg3Pt",
  "functional": "PBE-GGA",
  "state": "relaxed",
  "cell": [[-4.382, -3.633, -1.566], [3.643, -2.794, -3.712], [1.543, -3.722, 4.316]],
  "species": ["Hg", "Hg", "La", "Hg", "Pt"],
  "frac_coords": [[0.500, 0.000, 0.000], [0.000, 0.500, 0.000], [0.000, 0.000, 0.000], [0.000, 0.000, 0.500], [0.500, 0.500, 0.500]],
  "m_tot_mub_per_fu": 0.00
}

---

--- 2 ---
{
  "formula": "LaHg3Pt",
  "functional": "PBE-GGA",
  "state": "relaxed",
  "cell": [[5.204, 0.000, 0.000], [0.000, 5.204, 0.000], [0.000, 0.000, 5.204]],
  "species": ["Pt", "Hg", "Hg", "Hg", "La"],
  "frac_coords": [[0.000, 0.000, 0.000], [0.000, 0.000, 0.500], [0.000, 0.500, 0.000], [0.500, 0.000, 0.000], [0.500, 0.500, 0.500]],
  "m_tot_mub_per_fu": 0.00
}

---

Pick 2: it beats the second-best structure by 1.141 eV/atom.

---

--- 1 ---
{
  "formula": "LaHgPt3",
  "functional": "PBE-GGA",
  "state": "relaxed",
  "cell": [[-4.859, 0.987, 0.874], [-0.925, -4.930, 0.427], [0.940, 0.251, 4.940]],
  "species": ["Pt", "Pt", "Hg", "La", "Pt"],
  "frac_coords": [[0.000, 0.500, 0.000], [0.500, 0.000, 0.000], [0.000, 0.000, 0.000], [0.500, 0.500, 0.500], [0.000, 0.000, 0.500]],
  "m_tot_mub_per_fu": 0.00
}

---

--- 2 ---
{
  "formula": "LaHgPt3",
  "functional": "PBE-GGA",
  "state": "relaxed",
  "cell": [[5.263, 0.000, 0.000], [0.000, 5.263, 0.000], [0.000, 0.000, 5.263]],
  "species": ["Pt", "Pt", "La", "Hg", "Pt"],
  "frac_coords": [[0.500, 0.000, 0.000], [0.000, 0.000, 0.500], [0.000, 0.000, 0.000], [0.500, 0.500, 0.500], [0.000, 0.500, 0.000]],
  "m_tot_mub_per_fu": 0.00
}

---

Pick 1: it beats the second-best structure by 0.624 eV/atom.

---

--- 1 ---
{
  "formula": "La4HgPt",
  "functional": "PBE-GGA",
  "state": "relaxed",
  "cell": [[-4.266, -4.629, 4.287], [-0.779, -3.043, -6.627], [8.630, -0.580, 2.480]],
  "species": ["Hg", "La", "La", "Pt", "La", "La", "Pt", "La", "La", "Hg", "La", "La"],
  "frac_coords": [[0.623, 0.373, 0.746], [0.207, 0.966, 0.432], [0.394, 0.217, 0.945], [0.914, 0.164, 0.328], [0.793, 0.034, 0.568], [0.726, 0.466, 0.432], [0.086, 0.836, 0.672], [0.274, 0.534, 0.568], [0.606, 0.783, 0.055], [0.377, 0.627, 0.254], [0.949, 0.272, 0.055], [0.051, 0.728, 0.945]],
  "m_tot_mub_per_fu": 0.00
}

---

--- 2 ---
{
  "formula": "La4HgPt",
  "functional": "PBE-GGA",
  "state": "relaxed",
  "cell": [[0.000, 4.448, 4.448], [4.448, 0.000, 4.448], [4.448, 4.448, 0.000]],
  "species": ["La", "Hg", "La", "La", "Pt", "La"],
  "frac_coords": [[0.872, 0.376, 0.376], [0.000, 0.000, 0.000], [0.376, 0.376, 0.376], [0.376, 0.872, 0.376], [0.750, 0.750, 0.750], [0.376, 0.376, 0.872]],
  "m_tot_mub_per_fu": 0.01
}

---

Pick 1: it beats the second-best structure by 0.717 eV/atom.

---

--- 1 ---
{
  "formula": "La2Hg2Pt",
  "functional": "PBE-GGA",
  "state": "relaxed",
  "cell": [[7.759, 0.000, 0.000], [0.000, 7.759, 0.000], [0.000, 0.000, 5.039]],
  "species": ["Hg", "Hg", "La", "Hg", "Hg", "La", "La", "La", "Pt", "Pt"],
  "frac_coords": [[0.361, 0.139, 0.500], [0.639, 0.861, 0.500], [0.829, 0.671, 0.000], [0.139, 0.639, 0.500], [0.861, 0.361, 0.500], [0.671, 0.171, 0.000], [0.329, 0.829, 0.000], [0.171, 0.329, 0.000], [0.500, 0.500, 0.000], [0.000, 0.000, 0.000]],
  "m_tot_mub_per_fu": 0.00
}

---

--- 2 ---
{
  "formula": "La2Hg2Pt",
  "functional": "PBE-GGA",
  "state": "relaxed",
  "cell": [[7.640, 0.000, 0.000], [0.000, 7.640, 0.000], [0.000, 0.000, 4.585]],
  "species": ["Pt", "Hg", "La", "Hg", "Hg", "Pt", "La", "La", "Hg", "La"],
  "frac_coords": [[0.500, 0.500, 0.000], [0.137, 0.363, 0.000], [0.331, 0.169, 0.500], [0.863, 0.637, 0.000], [0.637, 0.137, 0.000], [0.000, 0.000, 0.000], [0.169, 0.669, 0.500], [0.831, 0.331, 0.500], [0.363, 0.863, 0.000], [0.669, 0.831, 0.500]],
  "m_tot_mub_per_fu": 0.00
}

---

Pick 2: it beats the second-best structure by 0.013 eV/atom.

---

--- 1 ---
{
  "formula": "La7Hg2Pt2",
  "functional": "PBE-GGA",
  "state": "relaxed",
  "cell": [[-2.548, -3.233, 0.269], [1.928, -4.858, -8.505], [6.396, -7.664, 0.103]],
  "species": ["La", "La", "La", "Pt", "La", "Pt", "La", "Hg", "La", "Hg", "La"],
  "frac_coords": [[0.180, 0.711, 0.929], [0.116, 0.155, 0.613], [0.398, 0.712, 0.492], [0.000, 0.771, 0.229], [0.500, 0.990, 0.010], [0.500, 0.343, 0.657], [0.884, 0.387, 0.845], [0.260, 0.343, 0.136], [0.602, 0.508, 0.288], [0.740, 0.864, 0.657], [0.820, 0.071, 0.289]],
  "m_tot_mub_per_fu": 0.00
}

---

--- 2 ---
{
  "formula": "La7Hg2Pt2",
  "functional": "PBE-GGA",
  "state": "relaxed",
  "cell": [[7.111, -0.003, -0.894], [0.003, 7.372, 0.003], [-1.335, -0.002, 7.041]],
  "species": ["Pt", "La", "La", "La", "La", "Hg", "Pt", "La", "La", "La", "Hg"],
  "frac_coords": [[0.289, 0.000, 0.711], [0.500, 0.254, 0.500], [0.500, 0.746, 0.500], [0.000, 0.000, 0.000], [0.500, 0.739, 0.000], [0.171, 0.500, 0.171], [0.711, 0.000, 0.289], [0.500, 0.261, 0.000], [0.000, 0.739, 0.500], [0.000, 0.261, 0.500], [0.829, 0.500, 0.829]],
  "m_tot_mub_per_fu": 0.00
}

---

Pick 1: it beats the second-best structure by 0.071 eV/atom.